First-principles (SCAN) data for a crystal of AgPdBr3 relaxed with PBEsol, as listed in Alexandria. Values from VASP.

The structure in Quantum ESPRESSO input format:
```
&SYSTEM
  ibrav = 0, nat = 5, ntyp = 3
/
ATOMIC_SPECIES
Pd 106.42 Pd.upf
Br 79.90 Br.upf
Ag 107.87 Ag.upf
ATOMIC_POSITIONS angstrom
Pd 2.5632 2.5632 2.5632
Br 0.0000 2.5632 0.0000
Br 2.5632 0.0000 0.0000
Br 0.0000 0.0000 2.5632
Ag 0.0000 0.0000 0.0000
CELL_PARAMETERS angstrom
5.1264 0.0000 0.0000
0.0000 5.1264 0.0000
0.0000 0.0000 5.1264
```

Results
Formation energy without anion corrections: 0.3495 eV per atom